Here is an optimized crystal structure of CaZr2Cu from Alexandria. Energies are from PBE.

## Properties
Crystal system: monoclinic
DFT formation energy, meV/atom: 330
SG: C2/m, No. 12
Excess energy over the best structure of this formula in the dataset, eV/atom: 0.3184
Size of the total moment, μB/cell: 0.00
Raw total energy, eV per atom: -5.47

Cell and atoms, written as POSCAR:
```
CaZr2Cu
1.0
2.939 -5.712 0.000
2.939 5.712 0.000
-1.509 0.000 2.725
Ca Zr Cu
1 2 1
direct
0.000 0.000 0.000 Ca
0.000 0.500 0.500 Zr
0.500 0.000 0.500 Zr
0.500 0.500 0.000 Cu
```